1.
Material: LaSmGaSn
Method: DFT, PBE-GGA
State: optimized geometry

Unit cell a=7.636 b=7.636 c=7.636 alpha=90.00 beta=90.00 gamma=90.00
Space group F-43m (No. 216)
Asymmetric unit:
1 La 0.000 0.000 0.000 x4
2 Sm 0.000 0.000 0.500 x4
3 Ga 0.250 0.250 0.250 x4
4 Sn 0.250 0.250 0.750 x4

Values from the calculation:
Its calculated volume is 445.3 Å³/cell. Its energy of formation is -589 meV per atom. For the total energy, the calculation gives -19.0 eV per formula unit.


2.
Material: LaSmGaSn
Method: DFT, PBE-GGA
State: optimized geometry

Unit cell a=4.278 b=4.640 c=11.654 alpha=90.00 beta=90.00 gamma=90.00
Space group Amm2 (No. 38)
Asymmetric unit:
1 La 0.000 0.000 0.000 x2
2 Sm 0.500 0.000 0.280 x2
3 Ga 0.500 0.000 0.558 x2
4 Sn 0.000 0.000 0.716 x2

Values from the calculation:
Its calculated volume is 231.3 Å³/cell. Its energy of formation is -710 meV per atom. For the total energy, the calculation gives -19.5 eV per formula unit.


3.
Material: LaTbSmGa
Method: DFT, PBE-GGA
State: optimized geometry

Unit cell a=7.724 b=7.724 c=7.724 alpha=90.00 beta=90.00 gamma=90.00
Space group F-43m (No. 216)
Asymmetric unit:
1 La 0.000 0.000 0.000 x4
2 Tb 0.250 0.250 0.250 x4
3 Sm 0.000 0.000 0.500 x4
4 Ga 0.250 0.250 0.750 x4

Values from the calculation:
Its calculated volume is 460.8 Å³/cell. Its energy of formation is -102 meV per atom. For the total energy, the calculation gives -17.7 eV per formula unit.


4.
Material: LaSmTlGa
Method: DFT, PBE-GGA
State: optimized geometry

Unit cell a=7.664 b=7.664 c=7.664 alpha=90.00 beta=90.00 gamma=90.00
Space group F-43m (No. 216)
Asymmetric unit:
1 La 0.000 0.000 0.000 x4
2 Sm 0.000 0.000 0.500 x4
3 Tl 0.250 0.250 0.250 x4
4 Ga 0.250 0.250 0.750 x4

Values from the calculation:
Its calculated volume is 450.1 Å³/cell. Its energy of formation is -454 meV per atom. For the total energy, the calculation gives -16.9 eV per formula unit.


5.
Material: LaSmTlGa
Method: DFT, PBE-GGA
State: optimized geometry

Unit cell a=3.757 b=3.757 c=7.888 alpha=90.00 beta=90.00 gamma=90.00
Space group P4mm (No. 99)
Asymmetric unit:
1 La 0.000 0.000 0.000 x1
2 Sm 0.000 0.000 0.465 x1
3 Tl 0.500 0.500 0.720 x1
4 Ga 0.500 0.500 0.243 x1

Values from the calculation:
Its calculated volume is 111.3 Å³/cell. Its energy of formation is -486 meV per atom. For the total energy, the calculation gives -17.0 eV per formula unit.


6.
Material: La2SmZn2Ga2
Method: DFT, PBE-GGA
State: optimized geometry

Unit cell a=4.4551 b=4.4551 c=28.3282 alpha=90.00 beta=90.00 gamma=120.00
Space group R-3m (No. 166, hexagonal axes)
Asymmetric unit:
1 La 0.0000 0.0000 0.1362 x6
2 Sm 0.0000 0.0000 0.0000 x3
3 Zn 0.0000 0.0000 0.4009 x6
4 Ga 0.0000 0.0000 0.2649 x6

Values from the calculation:
Its calculated volume is 486.9 Å³/cell. Its energy of formation is -428 meV per atom. For the total energy, the calculation gives -26.2 eV per formula unit.